[1]
{"formula": "Ca2As3Rh5", "functional": "GGA-PBE", "state": "relaxed", "cell": [[-0.9148, 1.6983, 3.6919], [-6.3922, -1.4784, -0.9037], [2.2227, -11.8402, 3.6475]], "species": ["Rh", "Rh", "Rh", "Rh", "Rh", "Rh", "Rh", "Rh", "Rh", "Rh", "Ca", "Ca", "Ca", "Ca", "As", "As", "As", "As", "As", "As"], "frac_coords": [[0.8755, 0.7421, 0.7510], [0.2982, 0.9007, 0.5964], [0.5988, 0.9135, 0.1976], [0.4012, 0.4135, 0.8024], [0.7229, 0.9887, 0.4458], [0.0596, 0.6170, 0.1192], [0.2771, 0.4887, 0.5542], [0.9404, 0.1170, 0.8808], [0.1245, 0.2421, 0.2490], [0.7018, 0.4007, 0.4036], [0.1765, 0.7372, 0.3529], [0.4827, 0.7737, 0.9653], [0.5173, 0.2737, 0.0347], [0.8235, 0.2372, 0.6471], [0.7777, 0.6828, 0.5555], [0.0493, 0.9886, 0.0985], [0.9507, 0.4886, 0.9015], [0.3905, 0.0204, 0.7810], [0.2223, 0.1828, 0.4445], [0.6095, 0.5204, 0.2190]]}



[2]
{"formula": "CaAs2Rh", "functional": "GGA-PBE", "state": "relaxed", "cell": [[5.0287, -0.0083, 0.0048], [3.7019, 3.4035, 0.0048], [1.4893, 0.5792, 4.8241]], "species": ["Ca", "As", "As", "Rh"], "frac_coords": [[0.5081, 0.5081, 0.5108], [0.9871, 0.9871, 0.0308], [0.7304, 0.7304, 0.8356], [0.2744, 0.2744, 0.1229]]}



[3]
{"formula": "Ca3As3Rh2", "functional": "GGA-PBE", "state": "relaxed", "cell": [[4.3299, 0.0000, 0.0000], [-2.1650, 5.3658, 0.0000], [0.0000, 0.0000, 14.3191]], "species": ["Ca", "Ca", "Ca", "Ca", "Ca", "Ca", "As", "As", "As", "As", "As", "As", "Rh", "Rh", "Rh", "Rh"], "frac_coords": [[0.0838, 0.1676, 0.8888], [0.9162, 0.8324, 0.3888], [0.0838, 0.1676, 0.6112], [0.6368, 0.2736, 0.2500], [0.3632, 0.7264, 0.7500], [0.9162, 0.8324, 0.1112], [0.6266, 0.2531, 0.4639], [0.3734, 0.7469, 0.9639], [0.6670, 0.3340, 0.7500], [0.6266, 0.2531, 0.0361], [0.3330, 0.6660, 0.2500], [0.3734, 0.7469, 0.5361], [0.7957, 0.5913, 0.9041], [0.7957, 0.5913, 0.5959], [0.2043, 0.4087, 0.4041], [0.2043, 0.4087, 0.0959]]}



[4]
{"formula": "Ca3As4Rh2", "functional": "GGA-PBE", "state": "relaxed", "cell": [[-4.1848, -1.0392, -0.3150], [2.7529, -3.3316, 4.0875], [-2.0957, 7.3787, 3.4995]], "species": ["As", "As", "As", "As", "Rh", "Rh", "Ca", "Ca", "Ca"], "frac_coords": [[0.9067, 0.8134, 0.6094], [0.2931, 0.5862, 0.9147], [0.7069, 0.4138, 0.0853], [0.0933, 0.1866, 0.3906], [0.3053, 0.6105, 0.6232], [0.6947, 0.3895, 0.3768], [0.6210, 0.2421, 0.7040], [0.0000, 0.0000, 0.0000], [0.3790, 0.7579, 0.2960]]}



[5]
{"formula": "CaAs2Rh", "functional": "GGA-PBE", "state": "relaxed", "cell": [[7.0408, 0.1657, 0.0748], [5.1720, 4.7803, -0.0748], [-6.0449, -2.6249, 2.4850]], "species": ["As", "As", "Rh", "Ca"], "frac_coords": [[0.7738, 0.2738, 0.5000], [0.0698, 0.0698, 0.0000], [0.2072, 0.7072, 0.5000], [0.4492, 0.4492, 0.0000]]}



[6]
{"formula": "Ca2AsRh", "functional": "GGA-PBE", "state": "relaxed", "cell": [[-2.9563, -2.6368, 0.4556], [2.9747, -3.2116, 0.7147], [1.3583, -0.5522, 5.6170]], "species": ["Ca", "Ca", "Rh", "As"], "frac_coords": [[0.0000, 0.9815, 0.9120], [0.5000, 0.2644, 0.3462], [0.0000, 0.6950, 0.4852], [0.5000, 0.5592, 0.7566]]}



[7]
{"formula": "Ca2AsRh", "functional": "GGA-PBE", "state": "relaxed", "cell": [[-1.3476, 2.3275, -1.9288], [-4.4076, -1.5160, 1.2501], [-0.0053, 3.7772, 4.5618]], "species": ["Ca", "Ca", "As", "Rh"], "frac_coords": [[0.0000, 0.0000, 0.9217], [0.5000, 0.5000, 0.3370], [0.5000, 0.5000, 0.8291], [0.0000, 0.0000, 0.4122]]}



[8]
{"formula": "CaAs2Rh", "functional": "GGA-PBE", "state": "relaxed", "cell": [[-1.3543, -3.5142, 1.6338], [1.8656, -1.5966, 3.2898], [-3.1764, 1.1049, 4.8966]], "species": ["Ca", "As", "As", "Rh"], "frac_coords": [[0.7500, 0.7500, 0.7500], [0.5247, 0.5247, 0.4253], [0.9753, 0.9753, 0.0747], [0.2500, 0.2500, 0.2500]]}



N(E_F) (states/eV/cell)
7.3, 2.1, 6.8, 3.3, 2.3, 2.2, 4.4, 1.2
ΔH_f (0 K) (eV per formula unit)
-6.4, -2.0, -7.4, -7.8, -2.0, -3.1, -1.3, -2.9